Record 1
The following is a DFT calculation (PBE-GGA) of a relaxed structure of K2CaTc.

Lattice parameters (Å, degrees): 4.590 5.305 12.496 90.00 90.00 90.00
Space group Cmmm (No. 65)
Inequivalent atoms, fractional coordinates:
K (0.000, 0.000, 0.204) x4
Ca (0.000, 0.500, 0.500) x2
Tc (0.000, 0.500, 0.000) x2

energy relative to the elements: 1.172 eV/atom
energy above the most stable polymorph in this dataset: 362 meV per atom


Record 2
The following is a DFT calculation (PBE-GGA) of a relaxed structure of CaZn2Cu.

Lattice parameters (Å, degrees): 5.601 5.049 11.538 90.00 90.00 90.00
Space group Pmma (No. 51)
Inequivalent atoms, fractional coordinates:
Ca (0.250, 0.000, 0.118) x2
Ca (0.250, 0.500, 0.369) x2
Zn (0.000, 0.000, 0.500) x2
Zn (0.000, 0.500, 0.000) x2
Zn (0.250, 0.253, 0.844) x4
Cu (0.250, 0.000, 0.667) x2
Cu (0.250, 0.500, 0.646) x2

energy relative to the elements: -0.085 eV/atom


Record 3
The following is a DFT calculation (PBE-GGA) of a relaxed structure of LaSc2Cr.

Lattice parameters (Å, degrees): 3.572 5.253 10.587 90.00 90.00 90.00
Space group Immm (No. 71)
Inequivalent atoms, fractional coordinates:
La (0.000, 0.000, 0.000) x2
Sc (0.000, 0.500, 0.217) x4
Cr (0.000, 0.000, 0.500) x2

energy relative to the elements: 0.241 eV/atom
energy above the most stable polymorph in this dataset: 61 meV per atom


Record 4
The following is a DFT calculation (PBE-GGA) of a relaxed structure of AlFeCu2.

Lattice parameters (Å, degrees): 2.681 3.420 5.406 90.00 90.09 90.00
Space group Pm (No. 6)
Inequivalent atoms, fractional coordinates:
Al (0.000, 0.000, 0.000) x1
Fe (0.501, 0.500, 0.249) x1
Cu (0.000, 0.000, 0.497) x1
Cu (0.500, 0.500, 0.740) x1

energy relative to the elements: -0.069 eV/atom